[1]
A geometry-optimized CuOsAu2 structure. Source: the Alexandria database, functional GGA-PBE.

## Properties
Its volume is 15.78 Å³ per atom. As for the formation energy: 48 kJ per mole of atoms.

abc: 4.8716 4.8716 5.0527
angles: 98.81 98.81 32.22
Closest atoms and distances in Å follow each position.
Fractional positions:
Cu (0.0000, 0.0000, 0.0000)  2 Cu 2.70, 6 Au 2.82, 4 Os 2.87
Os (0.5000, 0.5000, 0.5000)  2 Os 2.70, 6 Au 2.82-2.84, 4 Cu 2.87
Au (0.2495, 0.2495, 0.7515)  6 Au 2.70-2.88, 3 Os 2.82-2.84, 3 Cu 2.82
Au (0.7505, 0.7505, 0.2485)  6 Au 2.70-2.88, 3 Os 2.82-2.84, 3 Cu 2.82

---

[2]
A geometry-optimized Cu3OsAu structure. Source: the Alexandria database, functional GGA-PBE.

## Properties
Its volume is 19.89 Å³ per atom. As for the formation energy: 139 kJ per mole of atoms.

abc: 4.6334 4.6334 4.6334
angles: 90.00 90.00 90.00
Closest atoms and distances in Å follow each position.
Fractional positions:
Cu (0.0000, 0.0000, 0.5000)  2 Os 2.32
Cu (0.0000, 0.5000, 0.0000)  2 Os 2.32
Cu (0.5000, 0.0000, 0.0000)  2 Os 2.32
Os (0.0000, 0.0000, 0.0000)  6 Cu 2.32
Au (0.5000, 0.5000, 0.5000)  12 Cu 3.28

---

| no. | DOS at the Fermi energy (states/eV/cell) | energy above the most stable polymorph in this dataset (eV/atom) |
| --- | --- | --- |
| 1 | 3.02 | 0.1937 |
| 2 | 3.64 | 0.0000 |